Record 1
Compound: ZnCrTcRh
Source: the Alexandria database
Functional: PBE
Structure: relaxed

Output
Raw total energy ... -0.5257 Ry/atom

Unit cell a=4.2463 b=4.2463 c=4.2463 alpha=60.00 beta=60.00 gamma=60.00
With the nearest neighbours (Å) after each atom.
Atoms (fractional coordinates):
Cr  0.2500  0.2500  0.2500  4 Tc 2.60, 4 Rh 2.60
Zn  0.7500  0.7500  0.7500  4 Rh 2.60, 4 Tc 2.60
Rh  0.5000  0.5000  0.5000  4 Cr 2.60, 4 Zn 2.60
Tc  0.0000  0.0000  0.0000  4 Zn 2.60, 4 Cr 2.60

***

Record 2
Compound: GdErGePt
Source: the Alexandria database
Functional: PBE
Structure: relaxed

Output
Raw total energy ... -0.6075 Ry/atom

Unit cell a=5.0083 b=5.0083 c=5.0083 alpha=60.00 beta=60.00 gamma=60.00
With the nearest neighbours (Å) after each atom.
Atoms (fractional coordinates):
Ge  0.2500  0.2500  0.2500  4 Gd 3.07, 4 Er 3.07
Gd  0.5000  0.5000  0.5000  4 Pt 3.07, 4 Ge 3.07
Pt  0.7500  0.7500  0.7500  4 Gd 3.07, 4 Er 3.07
Er  0.0000  0.0000  0.0000  4 Ge 3.07, 4 Pt 3.07

***

Record 3
Compound: FeCo2Cu
Source: the Alexandria database
Functional: PBE
Structure: relaxed

Output
Raw total energy ... -0.4862 Ry/atom

Unit cell a=4.3765 b=4.3765 c=4.3765 alpha=131.91 beta=131.86 gamma=70.41
With the nearest neighbours (Å) after each atom.
Atoms (fractional coordinates):
Co  0.9999  0.9999  0.0000  4 Cu 2.52, 4 Co 2.52-2.53, 4 Fe 2.53
Co  0.7501  0.2501  0.5000  4 Fe 2.52, 4 Co 2.52-2.53, 4 Cu 2.53
Cu  0.5000  0.5000  0.0000  8 Co 2.52-2.53, 4 Fe 2.53
Fe  0.2500  0.7500  0.5000  8 Co 2.52-2.53, 4 Cu 2.53

***

Record 4
Compound: AlFeRh2
Source: the Alexandria database
Functional: PBE
Structure: relaxed

Output
Raw total energy ... -0.5205 Ry/atom

Unit cell a=8.2635 b=8.2635 c=8.2635 alpha=19.55 beta=19.55 gamma=19.55
With the nearest neighbours (Å) after each atom.
Atoms (fractional coordinates):
Rh  0.9982  0.9982  0.9982  3 Al 2.56, 3 Fe 2.63, 6 Rh 2.81
Rh  0.5018  0.5018  0.5018  3 Al 2.56, 3 Fe 2.63, 6 Rh 2.81
Fe  0.7500  0.7500  0.7500  6 Rh 2.63, 6 Fe 2.81
Al  0.2500  0.2500  0.2500  6 Rh 2.56, 6 Al 2.81

***

Record 5
Compound: DyHo2Pa
Source: the Alexandria database
Functional: PBE
Structure: relaxed

Output
Relative energy among the computed polymorphs ... 183 meV/atom
Raw total energy ... -0.4059 Ry/atom

Unit cell a=3.5091 b=5.7721 c=5.7721 alpha=90.00 beta=90.00 gamma=90.00
With the nearest neighbours (Å) after each atom.
Atoms (fractional coordinates):
Pa  0.5000  0.5000  0.5000  8 Ho 3.38, 2 Pa 3.51
Ho  0.0000  0.0000  0.5000  4 Pa 3.38, 4 Dy 3.38, 2 Ho 3.51
Ho  0.0000  0.5000  0.0000  4 Pa 3.38, 4 Dy 3.38, 2 Ho 3.51
Dy  0.5000  0.0000  0.0000  8 Ho 3.38, 2 Dy 3.51

***

Record 6
Compound: MgPd3
Source: the Alexandria database
Functional: PBE
Structure: relaxed

Output
Raw total energy ... -0.3505 Ry/atom

Unit cell a=3.9997 b=3.9997 c=4.8343 alpha=114.44 beta=114.44 gamma=90.00
With the nearest neighbours (Å) after each atom.
Atoms (fractional coordinates):
Mg  0.0000  0.0000  0.0000  12 Pd 2.80-2.83
Pd  0.2500  0.7500  0.5000  8 Pd 2.80-2.83, 4 Mg 2.80
Pd  0.7500  0.2500  0.5000  8 Pd 2.80-2.83, 4 Mg 2.80
Pd  0.5000  0.5000  0.0000  8 Pd 2.80, 4 Mg 2.83

***

Energy of formation / eV per atom: 0.0013, -0.9395, 0.0772, -0.3544, 0.2908, -0.4755